No. 1
Density functional theory data (GGA-PBE) for a relaxed TcAsPdCl2 crystal.

Properties
Space group: No. 123
Uncorrected formation energy (eV per atom): 0.431

```
data_TcAsPdCl2
_symmetry_space_group_name_H-M 'P 1'
_symmetry_Int_Tables_number 1
_cell_length_a 4.767
_cell_length_b 4.767
_cell_length_c 4.900
_cell_angle_alpha 90.00
_cell_angle_beta 90.00
_cell_angle_gamma 90.00
loop_
_symmetry_equiv_pos_as_xyz
'x,y,z'
loop_
_atom_site_label
_atom_site_fract_x
_atom_site_fract_y
_atom_site_fract_z
_atom_site_occupancy
Tc1 0.000 0.000 0.000 1
As1 0.000 0.000 0.500 1
Pd1 0.500 0.500 0.500 1
Cl1 0.000 0.500 0.000 1
Cl2 0.500 0.000 0.000 1
```


No. 2
Density functional theory data (GGA-PBE) for a relaxed LaCr4Ir crystal.

Properties
Space group: No. 216
Calculated formation energy (meV/atom): 445

```
data_LaCr4Ir
_symmetry_space_group_name_H-M 'P 1'
_symmetry_Int_Tables_number 1
_cell_length_a 5.042
_cell_length_b 5.042
_cell_length_c 5.042
_cell_angle_alpha 60.00
_cell_angle_beta 60.00
_cell_angle_gamma 60.00
loop_
_symmetry_equiv_pos_as_xyz
'x,y,z'
loop_
_atom_site_label
_atom_site_fract_x
_atom_site_fract_y
_atom_site_fract_z
_atom_site_occupancy
La1 0.000 0.000 0.000 1
Cr1 0.124 0.625 0.625 1
Cr2 0.625 0.124 0.625 1
Cr3 0.625 0.625 0.124 1
Cr4 0.625 0.625 0.625 1
Ir1 0.250 0.250 0.250 1
```


No. 3
Density functional theory data (GGA-PBE) for a relaxed KAgW crystal.

Properties
Excess energy over the best structure of this formula in the dataset (kJ/mol of atoms): 19.8
Space group: No. 42
Calculated formation energy (meV/atom): 1051

```
data_KAgW
_symmetry_space_group_name_H-M 'P 1'
_symmetry_Int_Tables_number 1
_cell_length_a 8.885
_cell_length_b 8.719
_cell_length_c 2.803
_cell_angle_alpha 84.20
_cell_angle_beta 77.51
_cell_angle_gamma 18.29
loop_
_symmetry_equiv_pos_as_xyz
'x,y,z'
loop_
_atom_site_label
_atom_site_fract_x
_atom_site_fract_y
_atom_site_fract_z
_atom_site_occupancy
K1 0.000 0.000 0.000 1
Ag1 0.678 0.678 0.322 1
W1 0.319 0.319 0.681 1
```